1.
Material: BaAgAu2
Method: DFT, SCAN
State: PBEsol geometry

The structure in CIF format:
```
data_BaAgAu2
_symmetry_space_group_name_H-M 'P 4/m m m'
_symmetry_Int_Tables_number 123
_symmetry_space_group_name_Hall '-P 4 2'
_cell_length_a 4.8726
_cell_length_b 4.8726
_cell_length_c 3.9912
_cell_angle_alpha 90.00
_cell_angle_beta 90.00
_cell_angle_gamma 90.00
loop_
_atom_site_label
_atom_site_fract_x
_atom_site_fract_y
_atom_site_fract_z
_atom_site_occupancy
Ba1 0.0000 0.0000 0.0000 1
Ag1 0.5000 0.5000 0.0000 1
Au1 0.0000 0.5000 0.5000 1
```


2.
Material: BaAgAu2
Method: DFT, SCAN
State: PBEsol geometry

The structure in CIF format:
```
data_BaAgAu2
_symmetry_space_group_name_H-M 'P 4 m m'
_symmetry_Int_Tables_number 99
_symmetry_space_group_name_Hall 'P 4 -2'
_cell_length_a 3.6416
_cell_length_b 3.6416
_cell_length_c 6.9713
_cell_angle_alpha 90.00
_cell_angle_beta 90.00
_cell_angle_gamma 90.00
loop_
_atom_site_label
_atom_site_fract_x
_atom_site_fract_y
_atom_site_fract_z
_atom_site_occupancy
Ba1 0.0000 0.0000 0.0000 1
Ag1 0.5000 0.5000 0.3289 1
Au1 0.0000 0.0000 0.4995 1
Au2 0.5000 0.5000 0.7135 1
```


3.
Material: BaAg2Au
Method: DFT, SCAN
State: PBEsol geometry

The structure in CIF format:
```
data_BaAg2Au
_symmetry_space_group_name_H-M 'R -3 m'
_symmetry_Int_Tables_number 166
_symmetry_space_group_name_Hall '-R 3 2"'
_cell_length_a 4.7053
_cell_length_b 4.7053
_cell_length_c 16.1535
_cell_angle_alpha 90.00
_cell_angle_beta 90.00
_cell_angle_gamma 120.00
loop_
_atom_site_label
_atom_site_fract_x
_atom_site_fract_y
_atom_site_fract_z
_atom_site_occupancy
Ba1 0.0000 0.0000 0.0000 1
Ag1 0.0000 0.0000 0.1994 1
Au1 0.0000 0.0000 0.5000 1
```


4.
Material: Ba2AgAu
Method: DFT, SCAN
State: PBEsol geometry

The structure in CIF format:
```
data_Ba2AgAu
_symmetry_space_group_name_H-M 'A m m 2'
_symmetry_Int_Tables_number 38
_symmetry_space_group_name_Hall 'A 2 -2'
_cell_length_a 4.8139
_cell_length_b 4.5482
_cell_length_c 12.1444
_cell_angle_alpha 90.00
_cell_angle_beta 90.00
_cell_angle_gamma 90.00
loop_
_atom_site_label
_atom_site_fract_x
_atom_site_fract_y
_atom_site_fract_z
_atom_site_occupancy
Ba1 0.0000 0.0000 0.0000 1
Ba2 0.5000 0.0000 0.2770 1
Ag1 0.0000 0.0000 0.7054 1
Au1 0.5000 0.0000 0.5680 1
```


5.
Material: BaAgAu
Method: DFT, SCAN
State: PBEsol geometry

The structure in CIF format:
```
data_BaAgAu
_symmetry_space_group_name_H-M 'P -6 m 2'
_symmetry_Int_Tables_number 187
_symmetry_space_group_name_Hall 'P -6 2'
_cell_length_a 4.7770
_cell_length_b 4.7770
_cell_length_c 4.2063
_cell_angle_alpha 90.00
_cell_angle_beta 90.00
_cell_angle_gamma 120.00
loop_
_atom_site_label
_atom_site_fract_x
_atom_site_fract_y
_atom_site_fract_z
_atom_site_occupancy
Ba1 0.0000 0.0000 0.0000 1
Ag1 0.3333 0.6667 0.5000 1
Au1 0.6667 0.3333 0.5000 1
```


6.
Material: BaAg2Au
Method: DFT, SCAN
State: PBEsol geometry

The structure in CIF format:
```
data_BaAg2Au
_symmetry_space_group_name_H-M 'R 3 m'
_symmetry_Int_Tables_number 160
_symmetry_space_group_name_Hall 'R 3 -2"'
_cell_length_a 4.6933
_cell_length_b 4.6933
_cell_length_c 16.2255
_cell_angle_alpha 90.00
_cell_angle_beta 90.00
_cell_angle_gamma 120.00
loop_
_atom_site_label
_atom_site_fract_x
_atom_site_fract_y
_atom_site_fract_z
_atom_site_occupancy
Ba1 0.0000 0.0000 0.0000 1
Ag1 0.0000 0.0000 0.5002 1
Ag2 0.0000 0.0000 0.8009 1
Au1 0.0000 0.0000 0.2028 1
```


7.
Material: Ba2AgAu
Method: DFT, SCAN
State: PBEsol geometry

The structure in CIF format:
```
data_Ba2AgAu
_symmetry_space_group_name_H-M 'P m m 2'
_symmetry_Int_Tables_number 25
_symmetry_space_group_name_Hall 'P 2 -2'
_cell_length_a 3.9496
_cell_length_b 5.6162
_cell_length_c 5.6169
_cell_angle_alpha 90.00
_cell_angle_beta 90.00
_cell_angle_gamma 90.00
loop_
_atom_site_label
_atom_site_fract_x
_atom_site_fract_y
_atom_site_fract_z
_atom_site_occupancy
Ba1 0.0000 0.0000 0.0000 1
Ba2 0.0000 0.5000 0.4995 1
Ag1 0.5000 0.0000 0.5005 1
Au1 0.5000 0.5000 0.9995 1
```


8.
Material: Ba2AgAu
Method: DFT, SCAN
State: PBEsol geometry

The structure in CIF format:
```
data_Ba2AgAu
_symmetry_space_group_name_H-M 'P 4/m m m'
_symmetry_Int_Tables_number 123
_symmetry_space_group_name_Hall '-P 4 2'
_cell_length_a 3.9629
_cell_length_b 3.9629
_cell_length_c 7.9424
_cell_angle_alpha 90.00
_cell_angle_beta 90.00
_cell_angle_gamma 90.00
loop_
_atom_site_label
_atom_site_fract_x
_atom_site_fract_y
_atom_site_fract_z
_atom_site_occupancy
Ba1 0.0000 0.0000 0.2414 1
Ag1 0.5000 0.5000 0.5000 1
Au1 0.5000 0.5000 0.0000 1
```


no.,VASP energy (eV/atom),formation energy (kcal/mol of atoms)
1,-52.5988,-6.7
2,-52.5893,-6.5
3,-43.2091,-8.0
4,-45.4788,-13.2
5,-47.3136,-14.3
6,-43.2734,-9.5
7,-45.4414,-12.3
8,-45.4461,-12.5